PBE Cs6RbAs, optimized geometry; calculated total energy = -23.74 eV for the cell shown
1.0
9.151 -4.608 0.000
9.151 4.608 0.000
-3.907 0.000 17.767
Cs Rb As
12 2 2
Cartesian
5.264 3.655 10.746
1.393 0.822 11.785
7.177 3.655 15.904
2.645 0.498 17.136
3.347 -0.822 2.902
4.599 -0.498 8.252
9.796 0.498 9.515
11.048 0.822 14.865
11.750 -0.498 0.631
7.218 -3.655 1.863
13.002 -0.822 5.981
9.131 -3.655 7.021
8.174 0.995 4.442
6.221 -0.995 13.325
2.622 2.304 8.883
4.575 -2.304 0.000


PBE CsRb3As, optimized geometry; relative energy among the computed polymorphs = 857.9 meV/atom
1.0
7.344 0.000 0.000
0.000 7.344 0.000
0.000 0.000 7.344
Cs Rb As
1 3 1
Cartesian
0.000 0.000 0.000
0.000 0.000 3.672
0.000 3.672 0.000
3.672 0.000 0.000
3.672 3.672 3.672


PBE Cs2Rb4As, optimized geometry; calculated total energy = -21.76 eV for the cell shown
1.0
6.855 0.000 0.000
0.000 6.855 0.000
0.000 0.000 26.966
Cs Rb As
4 8 2
Cartesian
0.000 0.000 5.195
0.000 0.000 21.770
3.428 3.428 8.288
3.428 3.428 18.678
0.000 0.000 10.202
0.000 0.000 16.764
0.000 3.428 0.000
0.000 3.428 13.483
3.428 0.000 0.000
3.428 0.000 13.483
3.428 3.428 3.281
3.428 3.428 23.685
0.000 0.000 13.483
3.428 3.428 0.000


| no. | DOS at the Fermi energy (states/eV per cell) |
| --- | --- |
| 1 | 12.52 |
| 2 | 9.88 |
| 3 | 12.71 |